GdErThSc (PBE, optimized geometry); energy of formation = 9.3 kJ per mole of atoms; magnetization = 7.38 μB/cell; density of states at the Fermi level = 1.70 states/eV/atom; VASP energy = -8.002 eV per atom
1.0
5.537 0.000 0.000
2.769 4.796 0.000
2.769 1.599 4.521
Sc Er Th Gd
1 1 1 1
Direct
0.000 0.000 0.000
0.500 0.500 0.500
0.250 0.250 0.250
0.750 0.750 0.750

FeH2Rh (PBE, optimized geometry); magnetization = 2.70 μB/cell; density of states at the Fermi level = 0.74 states/eV/atom; VASP energy = -5.515 eV per atom
1.0
-1.818 1.173 1.722
-2.153 -1.459 0.941
1.310 -1.550 4.660
Fe H Rh
1 2 1
Direct
0.493 0.493 0.522
0.257 0.257 0.230
0.081 0.081 0.756
0.669 0.669 0.992